1.
Below is crystalline Tb4Pr8Nd3 at its relaxed geometry, with properties calculated at the PBE level.

abc: 6.975 9.414 9.414
angles: 82.09 111.78 111.78
Positions (direct):
Pr1 0.500 0.246 0.754
Pr2 0.241 0.246 0.246
Tb1 0.000 0.500 0.000
Pr3 0.792 0.294 0.294
Nd1 0.500 0.500 0.500
Pr4 0.208 0.706 0.706
Tb2 0.000 0.000 0.500
Nd2 0.500 0.000 0.500
Pr5 0.759 0.754 0.754
Pr6 0.000 0.705 0.295
Pr7 0.000 0.295 0.705
Pr8 0.500 0.754 0.246
Tb3 0.500 0.000 0.000
Tb4 0.000 0.000 0.000
Nd3 0.500 0.500 0.000

## Properties
DOS(E_F), states/eV/atom: 1.57
Symmetry: C2/m
Magnetic moment, μB/atom: 0.00
Crystal system: monoclinic
Calculated density, g cm⁻³: 6.8
Calculated formation energy, eV per atom: 0.312

2.
Below is crystalline TbPr6Nd at its relaxed geometry, with properties calculated at the PBE level.

abc: 6.391 6.391 8.263
angles: 105.06 105.07 109.14
Positions (direct):
Pr1 0.624 0.124 0.247
Pr2 0.249 0.250 0.499
Pr3 0.751 0.750 0.501
Pr4 0.876 0.376 0.753
Tb1 0.000 0.000 0.000
Nd1 0.500 0.500 0.000
Pr5 0.376 0.876 0.753
Pr6 0.124 0.624 0.247

## Properties
DOS(E_F), states/eV/atom: 1.70
Symmetry: Fmmm
Magnetic moment, μB/atom: 0.00
Crystal system: orthorhombic
Calculated density, g cm⁻³: 6.7
Calculated formation energy, eV per atom: 0.015